1.
# SrOsRuPb2 (GGA-PBE, relaxed)
data_SrOsRuPb2
_chemical_formula_sum 'Sr1 Os1 Ru1 Pb2'
_space_group_name_H-M_alt 'P 1'
_space_group_IT_number 1
_cell_length_a 5.2845
_cell_length_b 4.8710
_cell_length_c 5.2845
_cell_angle_alpha 90.00
_cell_angle_beta 90.00
_cell_angle_gamma 90.00
loop_
_space_group_symop_operation_xyz
'x,y,z'
loop_
_atom_site_label
_atom_site_fract_x
_atom_site_fract_y
_atom_site_fract_z
Pb1 0.0000 0.0000 0.5000
Pb2 0.5000 0.0000 0.0000
Ru1 0.0000 0.0000 0.0000
Os1 0.0000 0.5000 0.0000
Sr1 0.5000 0.5000 0.5000
# calculated volume: 27.21 Å³/atom
# raw total energy: -26.18 eV per cell
# energy of formation: 0.68 eV/atom
# crystal system: tetragonal
# ρ: 9.68 g/cm3
# SG: P4/mmm, No. 123


2.
# LiTmTl4 (GGA-PBE, relaxed)
data_LiTmTl4
_chemical_formula_sum 'Li1 Tm1 Tl4'
_space_group_name_H-M_alt 'P 1'
_space_group_IT_number 1
_cell_length_a 4.6885
_cell_length_b 4.6907
_cell_length_c 7.6695
_cell_angle_alpha 89.98
_cell_angle_beta 89.99
_cell_angle_gamma 90.00
loop_
_space_group_symop_operation_xyz
'x,y,z'
loop_
_atom_site_label
_atom_site_fract_x
_atom_site_fract_y
_atom_site_fract_z
Li1 0.0011 0.9977 0.4983
Tm1 0.5015 0.4968 0.9981
Tl1 0.5013 0.9970 0.2822
Tl2 0.5011 0.9971 0.7141
Tl3 0.0014 0.4974 0.7139
Tl4 0.0014 0.4977 0.2823
# calculated volume: 28.11 Å³/atom
# raw total energy: -15.71 eV per cell
# energy of formation: 0.02 eV/atom
# crystal system: tetragonal
# ρ: 9.78 g/cm3
# SG: P4/mmm, No. 123


3.
# LaYTm3Th (GGA-PBE, relaxed)
data_LaYTm3Th
_chemical_formula_sum 'La2 Y2 Tm6 Th2'
_space_group_name_H-M_alt 'P 1'
_space_group_IT_number 1
_cell_length_a 5.0562
_cell_length_b 7.9709
_cell_length_c 10.6413
_cell_angle_alpha 115.99
_cell_angle_beta 90.00
_cell_angle_gamma 90.00
loop_
_space_group_symop_operation_xyz
'x,y,z'
loop_
_atom_site_label
_atom_site_fract_x
_atom_site_fract_y
_atom_site_fract_z
La1 0.2500 0.1245 0.2906
La2 0.7500 0.8755 0.7094
Y1 0.2500 0.1313 0.6296
Y2 0.7500 0.8687 0.3704
Tm1 0.7500 0.8670 0.0413
Tm2 0.2500 0.1330 0.9587
Tm3 0.2500 0.6226 0.4552
Tm4 0.7500 0.3774 0.5448
Tm5 0.7500 0.3814 0.2058
Tm6 0.2500 0.6186 0.7942
Th1 0.2500 0.6176 0.1204
Th2 0.7500 0.3824 0.8796
# calculated volume: 32.13 Å³/atom
# raw total energy: -63.98 eV per cell
# energy of formation: 0.04 eV/atom
# crystal system: monoclinic
# ρ: 8.33 g/cm3
# SG: P2_1/m, No. 11


4.
# HfTi2Ge2 (GGA-PBE, relaxed)
data_HfTi2Ge2
_chemical_formula_sum 'Hf2 Ti4 Ge4'
_space_group_name_H-M_alt 'P 1'
_space_group_IT_number 1
_cell_length_a 7.7026
_cell_length_b 7.7026
_cell_length_c 2.9052
_cell_angle_alpha 90.00
_cell_angle_beta 90.00
_cell_angle_gamma 90.00
loop_
_space_group_symop_operation_xyz
'x,y,z'
loop_
_atom_site_label
_atom_site_fract_x
_atom_site_fract_y
_atom_site_fract_z
Ge1 0.1760 0.6760 0.5000
Ge2 0.6760 0.8240 0.5000
Ge3 0.8240 0.3240 0.5000
Ge4 0.3240 0.1760 0.5000
Hf1 0.0000 0.0000 0.0000
Hf2 0.5000 0.5000 0.0000
Ti1 0.3788 0.8788 0.0000
Ti2 0.8788 0.6212 0.0000
Ti3 0.6212 0.1212 0.0000
Ti4 0.1212 0.3788 0.0000
# calculated volume: 17.24 Å³/atom
# raw total energy: -72.89 eV per cell
# energy of formation: -0.29 eV/atom
# crystal system: tetragonal
# ρ: 8.08 g/cm3
# SG: P4/mbm, No. 127


5.
# Zr2FeNi (GGA-PBE, relaxed)
data_Zr2FeNi
_chemical_formula_sum 'Zr2 Fe1 Ni1'
_space_group_name_H-M_alt 'P 1'
_space_group_IT_number 1
_cell_length_a 4.5047
_cell_length_b 4.5047
_cell_length_c 4.5047
_cell_angle_alpha 60.00
_cell_angle_beta 60.00
_cell_angle_gamma 60.00
loop_
_space_group_symop_operation_xyz
'x,y,z'
loop_
_atom_site_label
_atom_site_fract_x
_atom_site_fract_y
_atom_site_fract_z
Fe1 0.5000 0.5000 0.5000
Ni1 0.7500 0.7500 0.7500
Zr1 0.0000 0.0000 0.0000
Zr2 0.2500 0.2500 0.2500
# calculated volume: 16.16 Å³/atom
# raw total energy: -31.19 eV per cell
# energy of formation: 0.04 eV/atom
# crystal system: cubic
# ρ: 7.63 g/cm3
# SG: F-43m, No. 216


6.
# Na2AgIF6 (GGA-PBE, relaxed)
data_Na2AgIF6
_chemical_formula_sum 'Na2 Ag1 I1 F6'
_space_group_name_H-M_alt 'P 1'
_space_group_IT_number 1
_cell_length_a 6.7014
_cell_length_b 6.7605
_cell_length_c 5.3785
_cell_angle_alpha 63.34
_cell_angle_beta 65.06
_cell_angle_gamma 49.65
loop_
_space_group_symop_operation_xyz
'x,y,z'
loop_
_atom_site_label
_atom_site_fract_x
_atom_site_fract_y
_atom_site_fract_z
Na1 0.5002 0.5850 0.3915
Na2 0.0165 0.0515 0.8971
Ag1 0.7076 0.7995 0.6586
I1 0.3317 0.2578 0.2121
F1 0.6514 0.2642 0.2056
F2 0.2625 0.0386 0.1168
F3 0.9432 0.3622 0.4354
F4 0.4021 0.7191 0.7506
F5 0.6842 0.0213 0.9282
F6 0.1623 0.5626 0.4192
# calculated volume: 16.29 Å³/atom
# raw total energy: -36.54 eV per cell
# crystal system: triclinic
# energy relative to the elements, uncorrected: -1828 meV/atom
# ρ: 4.02 g/cm3
# SG: P1, No. 1